{"formula": "K3ZrIn", "functional": "PBE-GGA", "state": "optimized geometry", "e_form_ev_per_atom": 1.148, "crystal_system": "cubic", "vol_a3_per_atom": 56.3, "dos_at_fermi_per_ev_atom": 3.740, "sg": "Pm-3m (221)", "energy_ha_per_atom": -0.0650, "cell": [[6.553, 0.000, 0.000], [0.000, 6.553, 0.000], [0.000, 0.000, 6.553]], "species": ["K", "K", "K", "Zr", "In"], "frac_coords": [[0.000, 0.000, 0.500], [0.000, 0.500, 0.000], [0.500, 0.000, 0.000], [0.500, 0.500, 0.500], [0.000, 0.000, 0.000]]}



{"formula": "KZr2In2", "functional": "PBE-GGA", "state": "optimized geometry", "e_form_ev_per_atom": -0.016, "crystal_system": "tetragonal", "de_polymorph_ev_per_fu": 0.00, "vol_a3_per_atom": 26.4, "dos_at_fermi_per_ev_atom": 0.946, "sg": "P4/mbm (127)", "energy_ha_per_atom": -0.1746, "cell": [[9.221, 0.000, 0.000], [0.000, 9.221, 0.000], [0.000, 0.000, 3.101]], "species": ["K", "K", "Zr", "Zr", "Zr", "Zr", "In", "In", "In", "In"], "frac_coords": [[0.000, 0.000, 0.000], [0.500, 0.500, 0.000], [0.119, 0.381, 0.000], [0.381, 0.881, 0.000], [0.619, 0.119, 0.000], [0.881, 0.619, 0.000], [0.175, 0.675, 0.500], [0.325, 0.175, 0.500], [0.675, 0.825, 0.500], [0.825, 0.325, 0.500]]}



{"formula": "KZr2In2", "functional": "PBE-GGA", "state": "optimized geometry", "e_form_ev_per_atom": 0.476, "crystal_system": "tetragonal", "de_polymorph_ev_per_fu": 2.46, "vol_a3_per_atom": 32.0, "dos_at_fermi_per_ev_atom": 0.972, "sg": "I4/mmm (139)", "energy_ha_per_atom": -0.1565, "cell": [[5.454, 0.000, 0.000], [0.000, 5.454, 0.000], [0.000, 0.000, 10.755]], "species": ["K", "K", "Zr", "Zr", "Zr", "Zr", "In", "In", "In", "In"], "frac_coords": [[0.000, 0.000, 0.000], [0.500, 0.500, 0.500], [0.000, 0.000, 0.344], [0.000, 0.000, 0.656], [0.500, 0.500, 0.156], [0.500, 0.500, 0.844], [0.000, 0.500, 0.250], [0.000, 0.500, 0.750], [0.500, 0.000, 0.250], [0.500, 0.000, 0.750]]}



{"formula": "KZrIn2", "functional": "PBE-GGA", "state": "optimized geometry", "e_form_ev_per_atom": 0.098, "crystal_system": "monoclinic", "de_polymorph_ev_per_fu": 0.71, "vol_a3_per_atom": 30.4, "dos_at_fermi_per_ev_atom": 0.517, "sg": "C2/m (12)", "energy_ha_per_atom": -0.1353, "cell": [[9.938, 0.000, 0.000], [0.000, 3.142, 0.000], [-0.681, 0.000, 7.796]], "species": ["K", "K", "Zr", "Zr", "In", "In", "In", "In"], "frac_coords": [[0.000, 0.000, 0.000], [0.500, 0.500, 0.000], [0.000, 0.500, 0.500], [0.500, 0.000, 0.500], [0.245, 0.000, 0.686], [0.255, 0.500, 0.314], [0.745, 0.500, 0.686], [0.755, 0.000, 0.314]]}



{"formula": "KZrIn2", "functional": "PBE-GGA", "state": "optimized geometry", "e_form_ev_per_atom": 0.184, "crystal_system": "orthorhombic", "de_polymorph_ev_per_fu": 1.05, "vol_a3_per_atom": 27.6, "dos_at_fermi_per_ev_atom": 0.690, "sg": "Imm2 (44)", "energy_ha_per_atom": -0.1322, "cell": [[3.156, 0.000, 0.000], [0.000, 5.786, 0.000], [0.000, 0.000, 12.110]], "species": ["K", "K", "Zr", "Zr", "In", "In", "In", "In"], "frac_coords": [[0.000, 0.000, 0.000], [0.500, 0.500, 0.500], [0.000, 0.500, 0.789], [0.500, 0.000, 0.289], [0.000, 0.000, 0.502], [0.000, 0.500, 0.233], [0.500, 0.000, 0.733], [0.500, 0.500, 0.002]]}



{"formula": "KZrIn2", "functional": "PBE-GGA", "state": "optimized geometry", "e_form_ev_per_atom": 0.228, "crystal_system": "orthorhombic", "de_polymorph_ev_per_fu": 1.23, "vol_a3_per_atom": 28.4, "dos_at_fermi_per_ev_atom": 0.675, "sg": "Cmm2 (35)", "energy_ha_per_atom": -0.1306, "cell": [[3.631, 0.000, 0.000], [0.000, 5.487, 0.000], [0.000, 0.000, 11.412]], "species": ["K", "K", "Zr", "Zr", "In", "In", "In", "In"], "frac_coords": [[0.000, 0.000, 0.000], [0.500, 0.500, 0.000], [0.000, 0.500, 0.298], [0.500, 0.000, 0.298], [0.000, 0.000, 0.511], [0.000, 0.500, 0.732], [0.500, 0.000, 0.732], [0.500, 0.500, 0.511]]}